The following is a DFT calculation (PBE) of an optimized crystal structure of Mo2RhW. Values from VASP.

Calculated values
The offset from the most stable computed form is 62 meV per atom. As for the energy of formation: 72 meV/atom. The uncorrected energy comes out at -10.420 eV per atom.

```
&SYSTEM
  ibrav = 0, nat = 4, ntyp = 3
/
ATOMIC_SPECIES
Mo 95.94 Mo.upf
Rh 102.91 Rh.upf
W 183.84 W.upf
ATOMIC_POSITIONS crystal
Mo 0.000 0.000 0.999
Mo 0.500 0.500 0.267
Rh 0.000 0.000 0.501
W 0.500 0.500 0.733
CELL_PARAMETERS angstrom
-1.640 1.643 1.401
-1.617 -2.100 0.571
4.492 -1.537 7.060
```